No. 1
The following is a PBE calculation of crystalline Cs2ZnHI6 at its relaxed geometry, from Alexandria via LeMat-Bulk.

Lattice parameters (Å, degrees): 7.883 7.883 8.487 62.33 62.33 90.00
Atoms (fractional coordinates):
Zn1 0.000 0.000 0.000
I1 0.274 0.274 0.000
I2 0.207 0.207 0.587
I3 0.274 0.726 0.000
I4 0.726 0.726 0.000
I5 0.726 0.274 0.000
I6 0.793 0.793 0.413
H1 0.500 0.500 0.000
Cs1 0.250 0.750 0.500
Cs2 0.750 0.250 0.500

Output
E in eV/atom: -2.09
Fermi-level density of states in states/eV per cell: 6.41

***

No. 2
The following is a PBE calculation of crystalline CsZn2HI at its relaxed geometry, from Alexandria via LeMat-Bulk.

Lattice parameters (Å, degrees): 5.031 5.980 5.031 90.00 90.00 90.00
Atoms (fractional coordinates):
H1 0.000 0.000 0.000
Zn1 0.000 0.000 0.500
Zn2 0.500 0.000 0.000
I1 0.500 0.500 0.500
Cs1 0.000 0.500 0.000

Output
E in eV/atom: -1.61
Fermi-level density of states in states/eV per cell: 1.23

***

No. 3
The following is a PBE calculation of crystalline CsInH at its relaxed geometry, from Alexandria via LeMat-Bulk.

Lattice parameters (Å, degrees): 5.332 5.332 8.347 71.37 71.37 60.00
Atoms (fractional coordinates):
Cs1 0.398 0.398 0.805
Cs2 0.602 0.602 0.195
In1 0.825 0.825 0.525
In2 0.175 0.175 0.475
H1 0.742 0.742 0.775
H2 0.258 0.258 0.225

Output
Relative energy among the computed polymorphs in eV/atom: 0.000
Fermi-level density of states in states/eV per cell: 0.80

***

No. 4
The following is a PBE calculation of crystalline CsInH3 at its relaxed geometry, from Alexandria via LeMat-Bulk.

Lattice parameters (Å, degrees): 5.032 6.520 6.979 105.16 92.44 90.55
Atoms (fractional coordinates):
In1 0.741 0.702 0.609
In2 0.708 0.257 0.123
H1 0.846 0.396 0.964
H2 0.650 0.900 0.459
H3 0.894 0.051 0.175
H4 0.093 0.681 0.509
H5 0.640 0.438 0.369
H6 0.378 0.174 0.028
Cs1 0.185 0.200 0.592
Cs2 0.289 0.722 0.083

Output
E in eV/atom: -2.76

***

No. 5
The following is a PBE calculation of crystalline Cs2In2H5 at its relaxed geometry, from Alexandria via LeMat-Bulk.

Lattice parameters (Å, degrees): 3.712 7.922 7.251 94.56 90.00 103.55
Atoms (fractional coordinates):
H1 0.817 0.633 0.944
H2 0.000 0.000 0.000
H3 0.183 0.367 0.056
H4 0.160 0.319 0.430
H5 0.840 0.681 0.570
In1 0.094 0.188 0.208
In2 0.906 0.812 0.792
Cs1 0.359 0.719 0.262
Cs2 0.641 0.281 0.738

Output
E in eV/atom: -2.58
Fermi-level density of states in states/eV per cell: 0.70

***

No. 6
The following is a PBE calculation of crystalline Cs2InH at its relaxed geometry, from Alexandria via LeMat-Bulk.

Lattice parameters (Å, degrees): 6.366 6.366 6.366 60.00 60.00 60.00
Site moments in Bohr magnetons follow the coordinates.
Atoms (fractional coordinates):
H1 0.000 0.000 0.000  0.00
In1 0.500 0.500 0.500  0.38
Cs1 0.250 0.250 0.250  0.06
Cs2 0.750 0.750 0.750  0.06

Output
Relative energy among the computed polymorphs in eV/atom: 0.195
Fermi-level density of states in states/eV per cell: 4.98